K3LaRu | PBE-GGA | optimized geometry

## Properties
D(E_F)	9.28	states/eV/f.u.
calculated total energy	-8.065	eV per formula unit

abc: 6.750 6.750 6.750
angles: 90.00 90.00 90.00
Space group Pm-3m (No. 221)
Inequivalent atoms, fractional coordinates:
K 0.000 0.000 0.500 x3
La 0.000 0.000 0.000 x1
Ru 0.500 0.500 0.500 x1